# Na4Ac3VO8 (PBE+U, optimized geometry)
# * electronic total energy: -100.993 eV/f.u.
# * crystal system: monoclinic
# * volume: 16.37 Å³/atom
data_Na4Ac3VO8
_chemical_formula_sum 'Na8 Ac6 V2 O16'
_cell_length_a 12.133
_cell_length_b 7.272
_cell_length_c 7.092
_cell_angle_alpha 90.00
_cell_angle_beta 123.18
_cell_angle_gamma 90.00
_symmetry_space_group_name_H-M 'C 1 2/m 1'
_symmetry_Int_Tables_number 12
_symmetry_space_group_name_Hall '-C 2y'
loop_
_atom_site_label
_atom_site_fract_x
_atom_site_fract_y
_atom_site_fract_z
Na1 0.000 0.000 0.000
Na2 0.000 0.500 0.000
Na3 0.250 0.250 0.500
Ac1 0.000 0.000 0.500
Ac2 0.250 0.250 0.000
V1 0.000 0.500 0.500
O1 0.005 0.288 0.707
O2 0.241 0.000 0.755
O3 0.245 0.000 0.235